No. 1
RbAsIrPb | PBE | optimized geometry

abc: 4.2306 4.2306 13.3793
angles: 90.00 90.00 90.00
Last column: nearest neighbours and their distance in Å.
Element x y z (fractional)
Ir1 0.2500 0.7500 0.0000  4 As 2.50
Ir2 0.7500 0.2500 0.0000  4 As 2.50
As1 0.2500 0.2500 0.0992  4 Ir 2.50
Rb1 0.2500 0.2500 0.7553  4 As 3.57, 4 Ir 3.90
Pb1 0.7500 0.2500 0.5000  4 Pb 2.99
Pb2 0.2500 0.7500 0.5000  4 Pb 2.99
As2 0.7500 0.7500 0.9008  4 Ir 2.50
Rb2 0.7500 0.7500 0.2447  4 As 3.57, 4 Ir 3.90

Output
Energy relative to the elements: -213 meV/atom
Size of the total moment: 0.00 μB per formula unit

No. 2
Ti4InPt5 | PBE | optimized geometry

abc: 3.7171 2.8351 15.4469
angles: 90.00 90.00 90.00
Last column: nearest neighbours and their distance in Å.
Element x y z (fractional)
Pt1 0.5000 0.5000 0.3099  8 Ti 2.76-2.80, 4 Pt 2.84-2.94
Pt2 0.5000 0.5000 0.5000  8 Ti 2.76, 4 Pt 2.84-2.94
Pt3 0.5000 0.5000 0.6901  8 Ti 2.76-2.80, 4 Pt 2.84-2.94
Ti1 0.0000 0.0000 0.2098  8 Pt 2.72-2.80, 3 Ti 2.84-3.01
Pt4 0.5000 0.5000 0.1194  4 Ti 2.72, 3 Pt 2.84-2.94, 4 In 2.98
Ti2 0.0000 0.0000 0.5955  8 Pt 2.76, 4 Ti 2.84-3.01
Pt5 0.5000 0.5000 0.8806  4 Ti 2.72, 3 Pt 2.84-2.94, 4 In 2.98
Ti3 0.0000 0.0000 0.7902  8 Pt 2.72-2.80, 3 Ti 2.84-3.01
In1 0.0000 0.0000 0.0000  2 In 2.84, 8 Pt 2.98
Ti4 0.0000 0.0000 0.4045  8 Pt 2.76, 4 Ti 2.84-3.01

Output
Energy relative to the elements: -808 meV/atom
Size of the total moment: 0.01 μB per formula unit

No. 3
SmZnHgPd | PBE | optimized geometry

abc: 4.8788 4.8788 4.8788
angles: 60.00 60.00 60.00
Last column: nearest neighbours and their distance in Å.
Element x y z (fractional)
Sm1 0.2500 0.2500 0.2500  4 Pd 2.99, 4 Zn 2.99
Hg1 0.7500 0.7500 0.7500  4 Pd 2.99, 4 Zn 2.99
Pd1 0.5000 0.5000 0.5000  4 Hg 2.99, 4 Sm 2.99
Zn1 0.0000 0.0000 0.0000  4 Hg 2.99, 4 Sm 2.99

Output
Energy relative to the elements: -439 meV/atom
Size of the total moment: 0.00 μB per formula unit

No. 4
PmSm7Y3 | PBE | optimized geometry

abc: 6.4434 7.7626 7.7690
angles: 81.45 85.73 85.76
Last column: nearest neighbours and their distance in Å.
Element x y z (fractional)
Sm1 0.2600 0.4247 0.0783  6 Sm 3.33-3.70, 3 Y 3.54-3.65
Sm2 0.0000 0.5000 0.5000  2 Pm 3.22, 2 Y 3.34, 2 Sm 3.50
Pm1 0.5000 0.5000 0.5000  4 Sm 3.22-3.44
Sm3 0.2121 0.7621 0.7622  5 Sm 3.33-3.53, 1 Pm 3.44, 3 Y 3.45-3.51
Sm4 0.2599 0.0780 0.4246  6 Sm 3.33-3.69, 3 Y 3.54-3.65
Y1 0.0003 0.1705 0.8296  7 Sm 3.34-3.60, 3 Y 3.45-3.66
Y2 0.5000 0.0000 0.0000  6 Sm 3.51-3.65, 4 Y 3.65-3.66
Sm5 0.7400 0.5753 0.9217  6 Sm 3.33-3.70, 3 Y 3.54-3.65
Y3 0.9997 0.8295 0.1704  7 Sm 3.34-3.60, 3 Y 3.45-3.66
Sm6 0.7879 0.2379 0.2378  5 Sm 3.33-3.53, 1 Pm 3.44, 3 Y 3.45-3.51
Sm7 0.7401 0.9220 0.5754  6 Sm 3.33-3.69, 3 Y 3.54-3.65

Output
Energy relative to the elements: 228 meV/atom
Size of the total moment: 0.00 μB per formula unit

No. 5
Ho2AsS | PBE | optimized geometry

abc: 4.1446 5.6288 16.9431
angles: 90.00 90.00 90.00
Last column: nearest neighbours and their distance in Å.
Element x y z (fractional)
S1 0.2500 0.7502 0.6729  5 Ho 2.69-2.83
Ho1 0.2500 0.2502 0.6685  3 S 2.69-2.82, 2 As 2.77
As1 0.2500 0.7499 0.4404  6 Ho 2.77-2.89
Ho2 0.2500 0.7499 0.0596  4 As 2.81-2.89, 2 S 2.83
As2 0.7500 0.7501 0.9404  6 Ho 2.77-2.89
Ho3 0.7500 0.7501 0.5596  4 As 2.81-2.89, 2 S 2.83
S2 0.7500 0.7498 0.1729  5 Ho 2.69-2.83
Ho4 0.7500 0.2498 0.1685  3 S 2.69-2.82, 2 As 2.77
As3 0.7500 0.2501 0.5596  6 Ho 2.77-2.89
Ho5 0.2500 0.7502 0.8315  3 S 2.69-2.82, 2 As 2.77
Ho6 0.7500 0.7498 0.3315  3 S 2.69-2.82, 2 As 2.77
Ho7 0.7500 0.2501 0.9404  4 As 2.81-2.89, 2 S 2.83
Ho8 0.2500 0.2499 0.4404  4 As 2.81-2.89, 2 S 2.83
S3 0.7500 0.2498 0.3271  5 Ho 2.69-2.83
As4 0.2500 0.2499 0.0596  6 Ho 2.77-2.89
S4 0.2500 0.2502 0.8271  5 Ho 2.69-2.83

Output
Energy above the lowest structure with this stoichiometry: 110 meV/atom
Size of the total moment: 0.00 μB per formula unit
E_form (uncorrected): -1.671 eV/atom

No. 6
Sc3AlPb | PBE | optimized geometry

abc: 5.1126 5.1126 5.1126
angles: 90.00 90.00 90.00
Last column: nearest neighbours and their distance in Å.
Element x y z (fractional)
Sc1 0.0000 0.0000 0.5000  2 Al 2.56
Sc2 0.0000 0.5000 0.0000  2 Al 2.56
Pb1 0.5000 0.5000 0.5000  12 Sc 3.62
Al1 0.0000 0.0000 0.0000  6 Sc 2.56
Sc3 0.5000 0.0000 0.0000  2 Al 2.56

Output
Energy above the lowest structure with this stoichiometry: 0 meV/atom
Energy relative to the elements: 46 meV/atom
Size of the total moment: 0.00 μB per formula unit

No. 7
HfPt5Au2 | PBE | optimized geometry

abc: 4.0878 4.0878 8.4923
angles: 103.93 103.93 90.00
Last column: nearest neighbours and their distance in Å.
Element x y z (fractional)
Pt1 0.8795 0.3795 0.7590  2 Hf 2.81, 6 Pt 2.81-2.89, 4 Au 2.87-2.94
Pt2 0.5000 0.5000 0.0000  8 Pt 2.81, 4 Hf 2.89
Pt3 0.3795 0.8795 0.7590  6 Pt 2.81-2.89, 2 Hf 2.81, 4 Au 2.87-2.94
Au1 0.7468 0.7468 0.4935  8 Pt 2.87-2.94, 4 Au 2.89
Pt4 0.1205 0.6205 0.2410  2 Hf 2.81, 6 Pt 2.81-2.89, 4 Au 2.87-2.94
Hf1 0.0000 0.0000 0.0000  12 Pt 2.81-2.89
Au2 0.2532 0.2532 0.5065  8 Pt 2.87-2.94, 4 Au 2.89
Pt5 0.6205 0.1205 0.2410  6 Pt 2.81-2.89, 2 Hf 2.81, 4 Au 2.87-2.94

Output
Energy relative to the elements: -542 meV/atom
Size of the total moment: 0.00 μB per formula unit

Going through the records in order, we get N(E_F) values of 0.53, 0.92, 0.92, 1.43, 0.36, 0.26, 0.56 states/eV per atom.